Entry 1:
{"formula": "K2AlP", "functional": "PBE", "state": "relaxed", "lattice_angstrom": [[-1.905, 2.800, 5.850], [1.905, -2.800, 5.850], [1.905, 2.800, -5.850]], "species": ["K", "K", "Al", "P"], "frac_coords": [[0.000, 0.000, 0.000], [0.675, 0.175, 0.500], [0.304, 0.804, 0.500], [0.428, 0.428, 0.000]], "ef_mev_per_atom": -228, "relative_energy_mev_per_atom": 9}

---

Entry 2:
{"formula": "AlCrSe3", "functional": "PBE", "state": "relaxed", "lattice_angstrom": [[6.321, 0.000, 0.000], [0.000, 3.759, 0.000], [-1.460, 0.000, 10.809]], "species": ["Al", "Al", "Cr", "Cr", "Se", "Se", "Se", "Se", "Se", "Se"], "frac_coords": [[0.018, 0.250, 0.259], [0.982, 0.750, 0.741], [0.471, 0.750, 0.345], [0.529, 0.250, 0.655], [0.167, 0.750, 0.161], [0.275, 0.250, 0.448], [0.359, 0.750, 0.765], [0.641, 0.250, 0.235], [0.725, 0.750, 0.552], [0.833, 0.250, 0.839]], "raw_formation_energy_ev_per_fu": -3.30, "relative_energy_mev_per_atom": 0}

---

Entry 3:
{"formula": "Pr4AuSeI2", "functional": "PBE", "state": "relaxed", "lattice_angstrom": [[7.597, 0.000, 0.000], [0.000, 4.301, 0.000], [-2.487, 0.000, 7.840]], "species": ["Pr", "Pr", "Pr", "Pr", "Au", "Se", "I", "I"], "frac_coords": [[0.228, 0.000, 0.205], [0.270, 0.500, 0.796], [0.730, 0.500, 0.204], [0.772, 0.000, 0.795], [0.500, 0.000, 0.000], [0.000, 0.500, 0.000], [0.000, 0.000, 0.500], [0.500, 0.500, 0.500]], "raw_formation_energy_ev_per_fu": -8.90}

---

Entry 4:
{"formula": "TcNi2S", "functional": "PBE", "state": "relaxed", "lattice_angstrom": [[4.436, 0.000, 0.000], [2.130, 3.901, 0.000], [1.189, 0.760, 6.027]], "species": ["Tc", "Tc", "Ni", "Ni", "Ni", "Ni", "S", "S"], "frac_coords": [[0.000, 0.000, 0.000], [0.309, 0.309, 0.011], [0.081, 0.581, 0.401], [0.625, 0.606, 0.209], [0.702, 0.686, 0.801], [0.717, 0.236, 0.610], [0.225, 0.705, 0.685], [0.611, 0.079, 0.326]], "raw_formation_energy_ev_per_fu": -0.24}

---

Entry 5:
{"formula": "ZrScV2", "functional": "PBE", "state": "relaxed", "lattice_angstrom": [[-3.605, 3.605, 2.840], [3.605, -3.605, 2.840], [3.605, 3.605, -2.840]], "species": ["Zr", "Zr", "Sc", "Sc", "V", "V", "V", "V"], "frac_coords": [[0.000, 0.000, 0.000], [0.750, 0.250, 0.500], [0.250, 0.750, 0.500], [0.500, 0.500, 0.000], [0.126, 0.625, 0.001], [0.375, 0.376, 0.501], [0.624, 0.125, 0.999], [0.875, 0.874, 0.499]], "ef_mev_per_atom": 711, "relative_energy_mev_per_atom": 442}

---

Sequential size of the total moment output: 0.0000; 0.5995; 0.0000; 0.0000; 0.0005 μB per atom
Sequential VASP energy output: -3.065; -5.423; -4.736; -6.573; -7.569 eV/atom